No. 1
Density functional theory data (GGA-PBE) for a relaxed Rb2RuCl5F crystal.

Output
**Calculated volume**: 255.4 Å³/cell
**Calculated total energy**: -34.90 eV/f.u.
**Spin magnetization**: 2.000 μB per cell

a = 7.069 Å, b = 7.069 Å, c = 7.069 Å
α = 118.43°, β = 118.43°, γ = 92.74°
Element x y z (fractional)
Rb  0.000  0.500  0.500
Rb  0.500  0.000  0.500
Ru  0.252  0.252  0.000
Cl  0.018  0.018  0.538
Cl  0.018  0.480  0.000
Cl  0.480  0.018  0.000
Cl  0.480  0.480  0.462
Cl  0.489  0.489  0.000
F  0.053  0.053  0.000

***

No. 2
Density functional theory data (GGA-PBE) for a relaxed Rb2RuClF6 crystal.

Output
**Calculated volume**: 223.2 Å³/cell
**Calculated total energy**: -43.93 eV/f.u.
**Spin magnetization**: 3.000 μB per cell

a = 6.809 Å, b = 6.809 Å, c = 6.809 Å
α = 60.00°, β = 60.00°, γ = 60.00°
Element x y z (fractional)
Rb  0.250  0.250  0.250
Rb  0.750  0.750  0.750
Ru  0.000  0.000  0.000
Cl  0.500  0.500  0.500
F  0.199  0.199  0.801
F  0.199  0.801  0.199
F  0.199  0.801  0.801
F  0.801  0.199  0.199
F  0.801  0.199  0.801
F  0.801  0.801  0.199

***

No. 3
Density functional theory data (GGA-PBE) for a relaxed Rb2SClF crystal.

Output
**Calculated volume**: 140.1 Å³/cell
**Calculated total energy**: -16.72 eV/f.u.
**Spin magnetization**: 0.000 μB per cell

a = 5.865 Å, b = 5.865 Å, c = 4.072 Å
α = 90.00°, β = 90.00°, γ = 90.00°
Element x y z (fractional)
Rb  0.000  0.500  0.000
Rb  0.500  0.000  0.000
S  0.000  0.000  0.500
Cl  0.500  0.500  0.500
F  0.000  0.000  0.000

***

No. 4
Density functional theory data (GGA-PBE) for a relaxed Rb2SCl6F crystal.

Output
**Excess energy over the best structure of this formula in the dataset**: 0.000 eV per atom
**Calculated volume**: 262.9 Å³/cell
**Calculated total energy**: -28.17 eV/f.u.
**Spin magnetization**: 0.000 μB per cell

a = 7.042 Å, b = 7.042 Å, c = 7.042 Å
α = 114.64°, β = 114.64°, γ = 99.56°
Element x y z (fractional)
Rb  0.250  0.750  0.500
Rb  0.750  0.250  0.500
S  0.000  0.000  0.000
Cl  0.216  0.216  0.432
Cl  0.216  0.784  0.000
Cl  0.257  0.257  0.000
Cl  0.743  0.743  0.000
Cl  0.784  0.216  0.000
Cl  0.784  0.784  0.568
F  0.500  0.500  0.000

***

No. 5
Density functional theory data (GGA-PBE) for a relaxed Rb2SCl6F crystal.

Output
**Excess energy over the best structure of this formula in the dataset**: 0.016 eV per atom
**Calculated volume**: 253.5 Å³/cell
**Calculated total energy**: -28.01 eV/f.u.
**Spin magnetization**: 0.000 μB per cell

a = 7.104 Å, b = 7.104 Å, c = 7.104 Å
α = 60.00°, β = 60.00°, γ = 60.00°
Element x y z (fractional)
Rb  0.250  0.250  0.250
Rb  0.750  0.750  0.750
S  0.000  0.000  0.000
Cl  0.229  0.229  0.771
Cl  0.229  0.771  0.229
Cl  0.229  0.771  0.771
Cl  0.771  0.229  0.229
Cl  0.771  0.229  0.771
Cl  0.771  0.771  0.229
F  0.500  0.500  0.500

***

No. 6
Density functional theory data (GGA-PBE) for a relaxed Rb2SbCl6F crystal.

Output
**Calculated volume**: 285.7 Å³/cell
**Calculated total energy**: -31.58 eV/f.u.
**Spin magnetization**: 0.000 μB per cell

a = 7.217 Å, b = 7.217 Å, c = 7.217 Å
α = 113.39°, β = 113.39°, γ = 101.90°
Element x y z (fractional)
Rb  0.250  0.750  0.500
Rb  0.750  0.250  0.500
Sb  0.000  0.000  0.000
Cl  0.224  0.224  0.449
Cl  0.224  0.776  0.000
Cl  0.260  0.260  0.000
Cl  0.740  0.740  0.000
Cl  0.776  0.224  0.000
Cl  0.776  0.776  0.551
F  0.500  0.500  0.000